[1]
10
Lattice="-1.350 0.862 8.080 5.985 -5.435 1.580 6.404 2.270 5.027" Properties=species:S:1:pos:R:3 comment="Cs2HfICl6 | Alexandria | PBE | relaxed" formation_energy_uncorrected_mev_per_atom=-1635.5 space_group="No. 139" pbc="T T T"
Cs 3.685 0.423 8.968
Cs 7.353 -2.726 5.718
I 2.317 -2.287 4.830
Hf 0.000 0.000 0.000
Cl 4.764 0.441 4.948
Cl 6.274 -2.745 9.739
Cl 0.979 -0.966 2.040
Cl 3.656 -3.607 7.620
Cl 0.199 -0.468 6.707
Cl 4.436 -4.105 2.953


[2]
20
Lattice="4.402 0.000 0.000 0.000 12.519 -0.036 0.000 -4.219 12.166" Properties=species:S:1:pos:R:3 comment="PrDy3Te6 | Alexandria | PBE | relaxed" formation_energy_uncorrected_mev_per_atom=-1410.6 space_group="No. 11" pbc="T T T"
Pr 3.302 -2.353 8.482
Pr 1.101 10.653 3.647
Dy 3.302 1.934 10.138
Dy 1.101 6.366 1.991
Dy 3.302 6.421 6.077
Dy 1.101 1.879 6.053
Dy 3.302 1.599 0.999
Dy 1.101 6.701 11.130
Te 3.302 3.448 7.489
Te 1.101 4.852 4.640
Te 3.302 11.045 1.137
Te 1.101 -2.745 10.993
Te 3.302 4.651 0.710
Te 1.101 3.649 11.419
Te 3.302 8.113 3.345
Te 1.101 0.187 8.785
Te 3.302 -0.516 5.690
Te 1.101 8.816 6.440
Te 3.302 6.903 9.091
Te 1.101 1.397 3.038